--- w ---
The following is a PBE calculation of an optimized crystal structure of La3Tb2Nd7, from Alexandria.

Cell lengths 6.7119, 6.7119, 34.2332 Å; angles 90.00, 90.00, 120.00 degrees
Space group R-3m (No. 166, hexagonal axes)
One atom of each set of equivalent atoms:
La  0.0000  0.0000  0.0000 (multiplicity 3)
La  0.0000  0.0000  0.1513 (multiplicity 6)
Tb  0.0000  0.0000  0.3341 (multiplicity 6)
Nd  0.0000  0.0000  0.5000 (multiplicity 3)
Nd  0.0039  0.5020  0.9163 (multiplicity 18)



--- x ---
The following is a PBE calculation of an optimized crystal structure of La3Tb2Nd7, from Alexandria.

Cell lengths 6.0131, 3.6662, 19.4292 Å; angles 90.00, 92.99, 90.00 degrees
Space group P2/m (No. 10)
One atom of each set of equivalent atoms:
La  0.0000  0.0000  0.0000 (multiplicity 1)
La  0.2772  0.5000  0.6341 (multiplicity 2)
Tb  0.2138  0.0000  0.2944 (multiplicity 2)
Nd  0.1883  0.5000  0.1456 (multiplicity 2)
Nd  0.2441  0.0000  0.4632 (multiplicity 2)
Nd  0.3090  0.0000  0.8212 (multiplicity 2)
Nd  0.5000  0.5000  0.0000 (multiplicity 1)



The least stable of them is w.



--- w ---
The following is a PBE calculation of an optimized crystal structure of LaTb4Nd2, from Alexandria.

Cell lengths 3.6254, 3.6254, 61.7429 Å; angles 90.00, 90.00, 120.00 degrees
Space group R-3m (No. 166, hexagonal axes)
One atom of each set of equivalent atoms:
La  0.0000  0.0000  0.0000 (multiplicity 3)
Tb  0.0000  0.0000  0.1434 (multiplicity 6)
Tb  0.0000  0.0000  0.2852 (multiplicity 6)
Nd  0.0000  0.0000  0.4289 (multiplicity 6)



--- x ---
The following is a PBE calculation of an optimized crystal structure of LaTb4Nd2, from Alexandria.

Cell lengths 6.9643, 10.5003, 7.0462 Å; angles 90.00, 106.60, 90.00 degrees
Space group P2/m (No. 10)
One atom of each set of equivalent atoms:
La  0.0000  0.0000  0.0000 (multiplicity 1)
La  0.5000  0.0000  0.0000 (multiplicity 1)
Tb  0.2292  0.2844  0.1892 (multiplicity 4)
Tb  0.2318  0.2209  0.6885 (multiplicity 4)
Nd  0.0000  0.5000  0.5000 (multiplicity 1)
Nd  0.5000  0.0000  0.5000 (multiplicity 1)
Nd  0.5000  0.5000  0.0000 (multiplicity 1)
Nd  0.5000  0.5000  0.5000 (multiplicity 1)



The least stable of them is x.



--- w ---
The following is a PBE calculation of an optimized crystal structure of La3TbNd4, from Alexandria.

Cell lengths 3.5695, 12.0058, 13.4038 Å; angles 90.00, 90.00, 90.00 degrees
Space group Immm (No. 71)
One atom of each set of equivalent atoms:
La  0.0000  0.0000  0.0000 (multiplicity 2)
La  0.0000  0.5000  0.2403 (multiplicity 4)
Tb  0.0000  0.0000  0.5000 (multiplicity 2)
Nd  0.0000  0.2475  0.3670 (multiplicity 8)



--- x ---
The following is a PBE calculation of an optimized crystal structure of La3TbNd4, from Alexandria.

Cell lengths 24.6555, 3.7119, 6.4154 Å; angles 90.00, 105.01, 90.00 degrees
Space group C2/m (No. 12)
One atom of each set of equivalent atoms:
La  0.0000  0.0000  0.0000 (multiplicity 2)
La  0.2501  0.0000  0.2503 (multiplicity 4)
Tb  0.0000  0.5000  0.5000 (multiplicity 2)
Nd  0.1238  0.0000  0.7913 (multiplicity 4)
Nd  0.1245  0.5000  0.2919 (multiplicity 4)



The least stable of them is w.



--- w ---
The following is a PBE calculation of an optimized crystal structure of LaTb4Nd3, from Alexandria.

Cell lengths 11.7042, 7.3560, 6.3521 Å; angles 90.00, 90.00, 90.00 degrees
Space group Pmn2_1 (No. 31)
One atom of each set of equivalent atoms:
La  0.0000  0.1252  0.0000 (multiplicity 2)
Tb  0.0000  0.3795  0.5024 (multiplicity 2)
Tb  0.0000  0.6222  0.0032 (multiplicity 2)
Tb  0.2494  0.6220  0.3347 (multiplicity 4)
Nd  0.0000  0.8716  0.5030 (multiplicity 2)
Nd  0.2490  0.1283  0.3357 (multiplicity 4)



--- x ---
The following is a PBE calculation of an optimized crystal structure of LaTb4Nd3, from Alexandria.

Cell lengths 3.4779, 11.7601, 13.3076 Å; angles 90.00, 90.00, 90.00 degrees
Space group Immm (No. 71)
One atom of each set of equivalent atoms:
La  0.0000  0.0000  0.0000 (multiplicity 2)
Tb  0.0000  0.2509  0.1349 (multiplicity 8)
Nd  0.0000  0.0000  0.5000 (multiplicity 2)
Nd  0.0000  0.5000  0.2587 (multiplicity 4)



The least stable of them is x.



--- w ---
The following is a PBE calculation of an optimized crystal structure of La4Tb5Nd, from Alexandria.

Cell lengths 3.6883, 3.6883, 25.2645 Å; angles 90.00, 90.00, 90.00 degrees
Space group P4/mmm (No. 123)
One atom of each set of equivalent atoms:
La  0.0000  0.0000  0.1001 (multiplicity 2)
La  0.0000  0.0000  0.3003 (multiplicity 2)
Tb  0.5000  0.5000  0.0000 (multiplicity 1)
Tb  0.5000  0.5000  0.2003 (multiplicity 2)
Tb  0.5000  0.5000  0.4013 (multiplicity 2)
Nd  0.0000  0.0000  0.5000 (multiplicity 1)



--- x ---
The following is a PBE calculation of an optimized crystal structure of La4Tb5Nd, from Alexandria.

Cell lengths 11.8174, 5.6264, 10.5929 Å; angles 90.00, 90.50, 90.00 degrees
Space group C2/m (No. 12)
One atom of each set of equivalent atoms:
La  0.0544  0.0000  0.2544 (multiplicity 4)
La  0.1697  0.5000  0.7500 (multiplicity 4)
Tb  0.0000  0.5000  0.5000 (multiplicity 2)
Tb  0.1949  0.0000  0.9348 (multiplicity 4)
Tb  0.1999  0.0000  0.5683 (multiplicity 4)
Nd  0.0000  0.5000  0.0000 (multiplicity 2)



The least stable of them is x.



--- w ---
The following is a PBE calculation of an optimized crystal structure of La7Tb2Nd, from Alexandria.

Cell lengths 12.2421, 17.2775, 3.5490 Å; angles 90.00, 90.00, 90.00 degrees
Space group Cmmm (No. 65)
One atom of each set of equivalent atoms:
La  0.0000  0.0000  0.0000 (multiplicity 2)
La  0.0000  0.1795  0.5000 (multiplicity 4)
La  0.2433  0.1315  0.0000 (multiplicity 8)
Tb  0.0000  0.3330  0.0000 (multiplicity 4)
Nd  0.0000  0.5000  0.5000 (multiplicity 2)



--- x ---
The following is a PBE calculation of an optimized crystal structure of La7Tb2Nd, from Alexandria.

Cell lengths 9.0662, 16.2341, 5.7962 Å; angles 90.00, 90.00, 90.00 degrees
Space group Cmmm (No. 65)
One atom of each set of equivalent atoms:
La  0.0000  0.0000  0.0000 (multiplicity 2)
La  0.0000  0.2612  0.5000 (multiplicity 4)
La  0.1831  0.3843  0.0000 (multiplicity 8)
Tb  0.0000  0.2030  0.0000 (multiplicity 4)
Nd  0.0000  0.5000  0.5000 (multiplicity 2)



The least stable of them is x.



--- w ---
The following is a PBE calculation of an optimized crystal structure of La4Tb2Nd5, from Alexandria.

Cell lengths 3.5630, 9.5918, 23.2559 Å; angles 90.00, 90.00, 90.00 degrees
Space group Immm (No. 71)
One atom of each set of equivalent atoms:
La  0.0000  0.0000  0.0930 (multiplicity 4)
La  0.0000  0.2905  0.5000 (multiplicity 4)
Tb  0.0000  0.0000  0.2283 (multiplicity 4)
Nd  0.0000  0.2030  0.3481 (multiplicity 8)
Nd  0.0000  0.5000  0.0000 (multiplicity 2)



--- x ---
The following is a PBE calculation of an optimized crystal structure of La4Tb2Nd5, from Alexandria.

Cell lengths 18.0932, 3.6096, 11.9573 Å; angles 90.00, 94.29, 90.00 degrees
Space group C2/m (No. 12)
One atom of each set of equivalent atoms:
La  0.0397  0.0000  0.2632 (multiplicity 4)
La  0.1415  0.5000  0.7960 (multiplicity 4)
Tb  0.2167  0.5000  0.3624 (multiplicity 4)
Nd  0.0000  0.5000  0.0000 (multiplicity 2)
Nd  0.0961  0.0000  0.5395 (multiplicity 4)
Nd  0.1789  0.0000  0.0739 (multiplicity 4)



The least stable of them is w.



--- w ---
The following is a PBE calculation of an optimized crystal structure of La3Tb2Nd, from Alexandria.

Cell lengths 3.5105, 6.0516, 19.8990 Å; angles 90.00, 90.00, 90.00 degrees
Space group Immm (No. 71)
One atom of each set of equivalent atoms:
La  0.0000  0.0000  0.0000 (multiplicity 2)
La  0.0000  0.5000  0.1896 (multiplicity 4)
Tb  0.0000  0.5000  0.3630 (multiplicity 4)
Nd  0.0000  0.5000  0.0000 (multiplicity 2)



--- x ---
The following is a PBE calculation of an optimized crystal structure of La3Tb2Nd, from Alexandria.

Cell lengths 10.3878, 7.2997, 12.2128 Å; angles 90.00, 115.14, 90.00 degrees
Space group C2/c (No. 15)
One atom of each set of equivalent atoms:
La  0.0000  0.1255  0.2500 (multiplicity 4)
La  0.1667  0.1249  0.5830 (multiplicity 8)
Tb  0.1657  0.3753  0.0818 (multiplicity 8)
Nd  0.0000  0.3746  0.7500 (multiplicity 4)



The least stable of them is w.



--- w ---
The following is a PBE calculation of an optimized crystal structure of LaTbNdTl, from Alexandria.

Cell lengths 7.9743, 7.9743, 7.9743 Å; angles 90.00, 90.00, 90.00 degrees
Space group F-43m (No. 216)
One atom of each set of equivalent atoms:
La  0.0000  0.0000  0.0000 (multiplicity 4)
Tb  0.2500  0.2500  0.2500 (multiplicity 4)
Nd  0.0000  0.0000  0.5000 (multiplicity 4)
Tl  0.2500  0.2500  0.7500 (multiplicity 4)



--- x ---
The following is a PBE calculation of an optimized crystal structure of LaTbNdTl, from Alexandria.

Cell lengths 4.9030, 4.9030, 10.3253 Å; angles 90.00, 90.00, 90.00 degrees
Space group I-4m2 (No. 119)
One atom of each set of equivalent atoms:
La  0.0000  0.0000  0.0000 (multiplicity 2)
Tb  0.0000  0.5000  0.7500 (multiplicity 2)
Nd  0.0000  0.5000  0.2500 (multiplicity 2)
Tl  0.0000  0.0000  0.5000 (multiplicity 2)



The least stable of them is w.



--- w ---
The following is a PBE calculation of an optimized crystal structure of LaTbNdY, from Alexandria.

Cell lengths 5.1612, 5.1612, 10.2881 Å; angles 90.00, 90.00, 90.00 degrees
Space group I-4m2 (No. 119)
One atom of each set of equivalent atoms:
La  0.0000  0.0000  0.0000 (multiplicity 2)
Tb  0.0000  0.5000  0.2500 (multiplicity 2)
Nd  0.0000  0.5000  0.7500 (multiplicity 2)
Y  0.0000  0.0000  0.5000 (multiplicity 2)



--- x ---
The following is a PBE calculation of an optimized crystal structure of LaTbNdY, from Alexandria.

Cell lengths 8.1962, 8.1962, 8.1962 Å; angles 90.00, 90.00, 90.00 degrees
Space group F-43m (No. 216)
One atom of each set of equivalent atoms:
La  0.0000  0.0000  0.0000 (multiplicity 4)
Tb  0.2500  0.2500  0.2500 (multiplicity 4)
Nd  0.0000  0.0000  0.5000 (multiplicity 4)
Y  0.2500  0.2500  0.7500 (multiplicity 4)



The least stable of them is x.



--- w ---
The following is a PBE calculation of an optimized crystal structure of LaNd2Tc, from Alexandria.

Cell lengths 7.4094, 9.7966, 6.6546 Å; angles 90.00, 90.00, 90.00 degrees
Space group Pnma (No. 62)
One atom of each set of equivalent atoms:
La  0.0603  0.2500  0.1328 (multiplicity 4)
Nd  0.1743  0.0669  0.6673 (multiplicity 8)
Tc  0.1238  0.7500  0.4767 (multiplicity 4)



--- x ---
The following is a PBE calculation of an optimized crystal structure of LaNd2Tc, from Alexandria.

Cell lengths 3.5470, 3.5470, 9.3838 Å; angles 90.00, 90.00, 90.00 degrees
Space group P4/mmm (No. 123)
One atom of each set of equivalent atoms:
La  0.0000  0.0000  0.0000 (multiplicity 1)
Nd  0.5000  0.5000  0.3174 (multiplicity 2)
Tc  0.0000  0.0000  0.5000 (multiplicity 1)



The least stable of them is x.